Density functional theory data (PBE-GGA) for an optimized crystal structure of FeTcRh3.

Results
E_tot: -6.92 eV/atom
D(E_F): 6.434 states/eV/f.u.

Cell lengths 4.441, 4.441, 4.441 Å; angles 90.00, 90.00, 90.00 degrees
Space group Pm-3m (No. 221)
Symmetry-distinct sites (fractional):
Fe 0.000 0.000 0.000
Tc 0.500 0.500 0.500
Rh 0.000 0.000 0.500

Density functional theory data (PBE-GGA) for an optimized crystal structure of FeTc2Rh.

Results
E_tot: -9.08 eV/atom
D(E_F): 5.503 states/eV/f.u.

Cell lengths 2.7212, 2.7212, 26.1495 Å; angles 90.00, 90.00, 120.00 degrees
Space group R3m (No. 160, hexagonal axes)
Symmetry-distinct sites (fractional):
Fe 0.0000 0.0000 0.0000
Tc 0.0000 0.0000 0.2494
Tc 0.0000 0.0000 0.5000
Rh 0.0000 0.0000 0.7468

no.,distance to the lowest polymorph of the same formula (eV/f.u.)
1,5.72
2,0.20